1.
## CrTc2P (PBE)

Data for CrTc2P after structural relaxation.

Unit cell a=4.201 b=4.201 c=4.201 alpha=60.00 beta=60.00 gamma=60.00
Sites, in units of the cell vectors:
1 Cr 0.500 0.500 0.500
2 P 0.250 0.250 0.250
3 Tc 0.000 0.000 0.000
4 Tc 0.750 0.750 0.750

Calculated values
total magnetic moment: 0.7 μB per cell
space group: No. 216
formation enthalpy at 0 K: 0.1073 eV/atom

---

2.
## CrTc2P (PBE)

Data for CrTc2P after structural relaxation.

Unit cell a=2.840 b=2.840 c=6.413 alpha=90.00 beta=90.00 gamma=90.00
Sites, in units of the cell vectors:
1 Cr 0.000 0.000 0.535
2 P 0.500 0.500 0.727
3 Tc 0.000 0.000 0.978
4 Tc 0.500 0.500 0.260

Calculated values
total magnetic moment: 0.0 μB per cell
space group: No. 99
formation enthalpy at 0 K: -0.1799 eV/atom

---

3.
## CrTc2P (PBE)

Data for CrTc2P after structural relaxation.

Unit cell a=4.843 b=4.843 c=4.843 alpha=136.84 beta=136.84 gamma=62.68
Sites, in units of the cell vectors:
1 Cr 0.500 0.500 0.000
2 P 0.750 0.250 0.500
3 Tc 0.000 0.000 0.000
4 Tc 0.250 0.750 0.500

Calculated values
total magnetic moment: 0.8 μB per cell
space group: No. 119
formation enthalpy at 0 K: -0.0311 eV/atom

---

4.
## CrTcP2 (PBE)

Data for CrTcP2 after structural relaxation.

Unit cell a=3.444 b=2.873 c=5.396 alpha=89.98 beta=90.00 gamma=90.00
Sites, in units of the cell vectors:
1 Cr 0.500 0.750 0.750
2 P 0.000 0.250 0.956
3 P 0.000 0.250 0.544
4 Tc 0.500 0.250 0.250

Calculated values
total magnetic moment: 0.4 μB per cell
space group: No. 47
formation enthalpy at 0 K: 0.0018 eV/atom
E above lowest polymorph: 511 meV/atom

---

5.
## CrTcP2 (PBE)

Data for CrTcP2 after structural relaxation.

Unit cell a=7.427 b=7.427 c=7.427 alpha=22.65 beta=22.65 gamma=22.65
Sites, in units of the cell vectors:
1 Cr 0.742 0.742 0.742
2 P 0.004 0.004 0.004
3 P 0.249 0.249 0.249
4 Tc 0.505 0.505 0.505

Calculated values
total magnetic moment: 0.0 μB per cell
space group: No. 160
formation enthalpy at 0 K: -0.0776 eV/atom
E above lowest polymorph: 432 meV/atom

---

6.
## CrTc3P3 (PBE)

Data for CrTc3P3 after structural relaxation.

Unit cell a=3.514 b=10.721 c=10.205 alpha=90.00 beta=90.00 gamma=90.00
Sites, in units of the cell vectors:
1 Cr 0.750 0.961 0.118
2 Cr 0.250 0.539 0.618
3 Cr 0.250 0.039 0.882
4 Cr 0.750 0.461 0.382
5 Tc 0.750 0.695 0.780
6 Tc 0.250 0.805 0.280
7 Tc 0.250 0.305 0.220
8 Tc 0.750 0.195 0.720
9 Tc 0.750 0.223 0.997
10 Tc 0.250 0.277 0.497
11 Tc 0.250 0.777 0.003
12 Tc 0.750 0.723 0.503
13 Tc 0.750 0.940 0.670
14 Tc 0.250 0.560 0.170
15 Tc 0.250 0.060 0.330
16 Tc 0.750 0.440 0.830
17 P 0.750 0.893 0.893
18 P 0.250 0.607 0.393
19 P 0.250 0.107 0.107
20 P 0.750 0.393 0.607
21 P 0.750 0.924 0.408
22 P 0.250 0.576 0.908
23 P 0.250 0.076 0.592
24 P 0.750 0.424 0.092
25 P 0.750 0.723 0.150
26 P 0.250 0.777 0.650
27 P 0.250 0.277 0.850
28 P 0.750 0.223 0.350

Calculated values
total magnetic moment: 6.0 μB per cell
space group: No. 62
formation enthalpy at 0 K: -0.4557 eV/atom

---

7.
## Cr3TcP (PBE)

Data for Cr3TcP after structural relaxation.

Unit cell a=4.166 b=4.166 c=4.166 alpha=90.00 beta=90.00 gamma=90.00
Sites, in units of the cell vectors:
1 Cr 0.000 0.500 0.000
2 Cr 0.000 0.000 0.500
3 Cr 0.500 0.000 0.000
4 Tc 0.500 0.500 0.500
5 P 0.000 0.000 0.000

Calculated values
total magnetic moment: 1.7 μB per cell
space group: No. 221
formation enthalpy at 0 K: 0.6571 eV/atom
E above lowest polymorph: 0 meV/atom

---

8.
## CrTc2P (PBE)

Data for CrTc2P after structural relaxation.

Unit cell a=7.223 b=7.223 c=5.605 alpha=49.89 beta=49.89 gamma=90.00
Sites, in units of the cell vectors:
1 Cr 0.000 0.000 0.000
2 Cr 0.750 0.250 0.500
3 Tc 0.544 0.125 0.250
4 Tc 0.206 0.625 0.250
5 Tc 0.375 0.456 0.750
6 Tc 0.875 0.794 0.750
7 P 0.500 0.500 0.000
8 P 0.250 0.750 0.500

Calculated values
total magnetic moment: 0.0 μB per cell
space group: No. 122
formation enthalpy at 0 K: 0.3857 eV/atom

---

9.
## CrTc2P (PBE)

Data for CrTc2P after structural relaxation.

Unit cell a=4.397 b=4.397 c=4.623 alpha=82.97 beta=82.97 gamma=37.60
Sites, in units of the cell vectors:
1 Cr 0.750 0.750 0.750
2 P 0.250 0.250 0.250
3 Tc 0.007 0.007 0.002
4 Tc 0.493 0.493 0.498

Calculated values
total magnetic moment: 1.3 μB per cell
space group: No. 12
formation enthalpy at 0 K: 0.0299 eV/atom

---

10.
## CrTcP2 (PBE)

Data for CrTcP2 after structural relaxation.

Unit cell a=4.323 b=2.892 c=4.054 alpha=90.00 beta=90.00 gamma=90.00
Sites, in units of the cell vectors:
1 Cr 0.500 0.875 0.750
2 P 0.000 0.875 0.006
3 P 0.500 0.375 0.241
4 Tc 0.000 0.375 0.503

Calculated values
total magnetic moment: 0.0 μB per cell
space group: No. 25
formation enthalpy at 0 K: -0.3042 eV/atom
E above lowest polymorph: 205 meV/atom

---

11.
## CrTc4P (PBE)

Data for CrTc4P after structural relaxation.

Unit cell a=5.089 b=5.089 c=5.089 alpha=60.00 beta=60.00 gamma=60.00
Sites, in units of the cell vectors:
1 Cr 0.750 0.750 0.750
2 Tc 0.876 0.375 0.375
3 Tc 0.375 0.375 0.876
4 Tc 0.375 0.876 0.375
5 Tc 0.375 0.375 0.375
6 P 0.000 0.000 0.000

Calculated values
total magnetic moment: 2.2 μB per cell
space group: No. 216
formation enthalpy at 0 K: 0.6418 eV/atom

---

12.
## CrTc2P (PBE)

Data for CrTc2P after structural relaxation.

Unit cell a=2.724 b=2.724 c=7.880 alpha=90.00 beta=90.00 gamma=113.33
Sites, in units of the cell vectors:
1 Cr 0.000 0.000 0.523
2 P 0.500 0.500 0.741
3 Tc 0.000 0.000 0.973
4 Tc 0.500 0.500 0.263

Calculated values
total magnetic moment: 0.0 μB per cell
space group: No. 35
formation enthalpy at 0 K: 0.1606 eV/atom

---

13.
## CrTcP2 (PBE)

Data for CrTcP2 after structural relaxation.

Unit cell a=3.944 b=3.944 c=4.958 alpha=77.70 beta=77.70 gamma=42.98
Sites, in units of the cell vectors:
1 Cr 0.250 0.250 0.250
2 P 0.997 0.997 0.020
3 P 0.503 0.503 0.480
4 Tc 0.750 0.750 0.750

Calculated values
total magnetic moment: 0.9 μB per cell
space group: No. 12
formation enthalpy at 0 K: -0.1645 eV/atom
E above lowest polymorph: 345 meV/atom

---

14.
## CrTcP2 (PBE)

Data for CrTcP2 after structural relaxation.

Unit cell a=4.561 b=4.561 c=4.561 alpha=131.58 beta=131.58 gamma=70.89
Sites, in units of the cell vectors:
1 Cr 0.750 0.250 0.500
2 P 0.000 0.000 0.000
3 P 0.250 0.750 0.500
4 Tc 0.500 0.500 0.000

Calculated values
total magnetic moment: 1.3 μB per cell
space group: No. 119
formation enthalpy at 0 K: 0.0945 eV/atom
E above lowest polymorph: 604 meV/atom

---

15.
## Cr2TeP (PBE)

Data for Cr2TeP after structural relaxation.

Unit cell a=3.069 b=3.069 c=7.104 alpha=90.00 beta=90.00 gamma=102.34
Sites, in units of the cell vectors:
1 Cr 0.000 0.000 0.057
2 Cr 0.000 0.000 0.443
3 P 0.500 0.500 0.250
4 Te 0.500 0.500 0.750

Calculated values
total magnetic moment: 5.0 μB per cell
space group: No. 65
formation energy from raw total energies: 0.236 eV per atom
E above lowest polymorph: 356 meV/atom

---

16.
## Cr2TeP (PBE)

Data for Cr2TeP after structural relaxation.

Unit cell a=3.625 b=3.625 c=6.165 alpha=90.00 beta=90.00 gamma=59.99
Sites, in units of the cell vectors:
1 Cr 0.875 0.875 0.963
2 Cr 0.875 0.875 0.537
3 P 0.542 0.542 0.750
4 Te 0.208 0.208 0.250

Calculated values
total magnetic moment: 5.5 μB per cell
space group: No. 187
formation energy from raw total energies: -0.121 eV per atom
E above lowest polymorph: 0 meV/atom

---

17.
## CrTe4P (PBE)

Data for CrTe4P after structural relaxation.

Unit cell a=6.225 b=6.225 c=6.225 alpha=60.00 beta=60.00 gamma=60.00
Sites, in units of the cell vectors:
1 Cr 0.750 0.750 0.750
2 Te 0.877 0.374 0.374
3 Te 0.374 0.374 0.877
4 Te 0.374 0.877 0.374
5 Te 0.374 0.374 0.374
6 P 0.000 0.000 0.000

Calculated values
total magnetic moment: 4.3 μB per cell
space group: No. 216
formation energy from raw total energies: 0.994 eV per atom

---

18.
## Cr4TeP (PBE)

Data for Cr4TeP after structural relaxation.

Unit cell a=4.890 b=4.890 c=4.890 alpha=60.00 beta=60.00 gamma=60.00
Sites, in units of the cell vectors:
1 Cr 0.870 0.377 0.377
2 Cr 0.377 0.377 0.870
3 Cr 0.377 0.870 0.377
4 Cr 0.377 0.377 0.377
5 Te 0.000 0.000 0.000
6 P 0.750 0.750 0.750

Calculated values
total magnetic moment: 0.0 μB per cell
space group: No. 216
formation energy from raw total energies: 0.518 eV per atom

---

19.
## Cr3TeP (PBE)

Data for Cr3TeP after structural relaxation.

Unit cell a=4.597 b=4.597 c=4.597 alpha=90.00 beta=90.00 gamma=90.00
Sites, in units of the cell vectors:
1 Cr 0.000 0.500 0.000
2 Cr 0.000 0.000 0.500
3 Cr 0.500 0.000 0.000
4 Te 0.500 0.500 0.500
5 P 0.000 0.000 0.000

Calculated values
total magnetic moment: 11.1 μB per cell
space group: No. 221
formation energy from raw total energies: 0.367 eV per atom
E above lowest polymorph: 0 meV/atom

---

20.
## Cr2TeP (PBE)

Data for Cr2TeP after structural relaxation.

Unit cell a=6.489 b=6.489 c=6.489 alpha=150.34 beta=151.02 gamma=41.95
Sites, in units of the cell vectors:
1 Cr 0.011 0.011 0.000
2 Cr 0.323 0.823 0.500
3 P 0.456 0.456 0.000
4 Te 0.710 0.210 0.500

Calculated values
total magnetic moment: 2.9 μB per cell
space group: No. 44
formation energy from raw total energies: -0.016 eV per atom
E above lowest polymorph: 105 meV/atom